No. 1
! Th3Ni2P3, optimized geometry, DFT PBE-GGA; values from VASP
! * ΔH_f (0 K): -8.43 eV/f.u.
! * DOS at the Fermi energy: 12.1 states/eV/cell
! * space group: Cmcm, No. 63
! * crystal system: orthorhombic
&SYSTEM
  ibrav = 0, nat = 16, ntyp = 3
/
ATOMIC_SPECIES
Th 232.04 Th.upf
Ni 58.69 Ni.upf
P 30.97 P.upf
CELL_PARAMETERS angstrom
2.015 -5.382 0.000
2.015 5.382 0.000
0.000 0.000 14.247
ATOMIC_POSITIONS angstrom
Th 2.015 4.554 8.642
Th 2.015 4.554 12.729
Th 2.015 1.504 10.685
Th 2.015 -1.504 3.562
Th 2.015 -4.554 1.518
Th 2.015 -4.554 5.605
Ni 2.015 3.010 1.350
Ni 2.015 3.010 5.774
Ni 2.015 -3.010 8.473
Ni 2.015 -3.010 12.897
P 2.015 1.607 3.562
P 2.015 1.489 7.788
P 2.015 1.489 13.583
P 2.015 -1.489 0.664
P 2.015 -1.489 6.459
P 2.015 -1.607 10.685

No. 2
! KNaSbPd, optimized geometry, DFT PBE-GGA; values from VASP
! * E_form (uncorrected): -0.392 eV/atom
! * DOS at the Fermi energy: 1.5 states/eV/cell
! * space group: Cm, No. 8
! * crystal system: monoclinic
&SYSTEM
  ibrav = 0, nat = 4, ntyp = 4
/
ATOMIC_SPECIES
K 39.10 K.upf
Na 22.99 Na.upf
Sb 121.76 Sb.upf
Pd 106.42 Pd.upf
CELL_PARAMETERS angstrom
4.066 -2.361 0.000
4.066 2.361 0.000
-2.725 0.000 6.014
ATOMIC_POSITIONS angstrom
K 0.000 0.000 0.000
Na 5.402 0.000 2.264
Sb 2.690 0.000 3.773
Pd -0.022 0.000 3.642

No. 3
! UZn17Ga, optimized geometry, DFT PBE-GGA; values from VASP
! * ΔH_f (0 K): 0.03 eV/f.u.
! * DOS at the Fermi energy: 10.9 states/eV/cell
! * space group: R3m, No. 160
! * crystal system: trigonal
&SYSTEM
  ibrav = 0, nat = 19, ntyp = 3
/
ATOMIC_SPECIES
U 238.03 U.upf
Zn 65.41 Zn.upf
Ga 69.72 Ga.upf
CELL_PARAMETERS angstrom
4.468 2.580 4.462
-4.468 2.580 4.462
0.000 -5.159 4.462
ATOMIC_POSITIONS angstrom
U 0.000 0.000 0.000
Zn 0.000 -2.528 2.310
Zn -2.190 1.264 2.310
Zn -2.302 -1.329 6.753
Zn 0.000 -2.574 6.431
Zn -2.229 1.287 6.431
Zn -1.317 -2.434 8.895
Zn -2.766 0.076 8.895
Zn 2.190 1.264 2.310
Zn 0.000 0.000 7.524
Zn 1.317 -2.434 8.895
Zn -1.449 2.358 8.895
Zn 2.302 -1.329 6.753
Zn 0.000 2.658 6.753
Zn 0.000 0.000 10.188
Zn 2.229 1.287 6.431
Zn 2.766 0.076 8.895
Zn 1.449 2.358 8.895
Ga 0.000 0.000 3.523

No. 4
! NdSmEr5Tm2, optimized geometry, DFT PBE-GGA; values from VASP
! * ΔH_f (0 K): 1.49 eV/f.u.
! * DOS at the Fermi energy: 28.1 states/eV/cell
! * space group: Cmc2_1, No. 36
! * crystal system: orthorhombic
&SYSTEM
  ibrav = 0, nat = 18, ntyp = 4
/
ATOMIC_SPECIES
Nd 144.24 Nd.upf
Sm 150.36 Sm.upf
Er 167.26 Er.upf
Tm 168.93 Tm.upf
CELL_PARAMETERS angstrom
2.785 -9.850 0.000
2.785 9.850 0.000
0.000 0.000 10.526
ATOMIC_POSITIONS angstrom
Nd 2.785 8.217 5.263
Nd 2.785 -8.217 0.000
Sm 2.785 3.953 0.662
Sm 2.785 -3.953 5.925
Er 2.785 9.407 8.273
Er 2.785 7.698 0.781
Er 2.785 5.888 7.998
Er 2.785 5.544 3.797
Er 2.785 0.340 0.814
Er 2.785 -0.340 6.077
Er 2.785 -5.544 9.060
Er 2.785 -5.888 2.735
Er 2.785 -7.698 6.044
Er 2.785 -9.407 3.010
Tm 2.785 2.229 3.899
Tm 2.785 2.166 8.277
Tm 2.785 -2.166 3.015
Tm 2.785 -2.229 9.162

No. 5
! Ti12In6O, optimized geometry, DFT PBE-GGA; values from VASP
! * E_form (uncorrected): -0.136 eV/atom
! * DOS at the Fermi energy: 22.6 states/eV/cell
! * space group: R-3, No. 148
! * crystal system: trigonal
&SYSTEM
  ibrav = 0, nat = 19, ntyp = 3
/
ATOMIC_SPECIES
Ti 47.87 Ti.upf
In 114.82 In.upf
O 16.00 O.upf
CELL_PARAMETERS angstrom
5.484 3.166 3.459
-5.484 3.166 3.459
0.000 -6.332 3.459
ATOMIC_POSITIONS angstrom
Ti -1.574 0.426 1.305
Ti 0.419 -1.576 1.305
Ti -1.525 -0.347 3.876
Ti 1.156 1.151 1.305
Ti 1.063 -1.147 3.876
Ti 0.462 1.494 3.876
Ti -0.462 -1.494 6.500
Ti -1.063 1.147 6.500
Ti -1.156 -1.151 9.072
Ti 1.525 0.347 6.500
Ti -0.419 1.576 9.072
Ti 1.575 -0.426 9.072
In -1.185 -3.139 4.321
In -3.311 -0.543 6.055
In -2.126 2.596 4.321
In 2.126 -2.596 6.055
In 3.311 0.543 4.321
In 1.185 3.139 6.055
O 0.000 0.000 0.000

No. 6
! Cs3Tm3ScS8, optimized geometry, DFT PBE-GGA; values from VASP
! * E_form (uncorrected): -1.739 eV/atom
! * DOS at the Fermi energy: 10.6 states/eV/cell
! * space group: C2/m, No. 12
! * crystal system: monoclinic
&SYSTEM
  ibrav = 0, nat = 15, ntyp = 4
/
ATOMIC_SPECIES
Cs 132.91 Cs.upf
Tm 168.93 Tm.upf
Sc 44.96 Sc.upf
S 32.06 S.upf
CELL_PARAMETERS angstrom
6.846 -3.951 0.000
6.846 3.951 0.000
-4.570 0.000 8.197
ATOMIC_POSITIONS angstrom
Cs 0.000 0.000 0.000
Cs 3.423 1.975 0.000
Cs 3.423 -1.975 0.000
Tm 1.138 1.975 4.098
Tm 1.138 -1.975 4.098
Tm 4.561 0.000 4.098
Sc -2.285 0.000 4.098
S -0.066 0.000 5.524
S 3.452 2.031 5.523
S 5.671 2.031 2.673
S 2.280 0.000 2.626
S 6.843 0.000 5.570
S 3.452 -2.031 5.523
S 5.671 -2.031 2.673
S 9.189 0.000 2.673

No. 7
! Ba2Li3OsO6, optimized geometry, DFT PBE-GGA; values from VASP
! * E_form (uncorrected): -1.843 eV/atom
! * space group: C2/m, No. 12
! * crystal system: monoclinic
&SYSTEM
  ibrav = 0, nat = 12, ntyp = 4
/
ATOMIC_SPECIES
Ba 137.33 Ba.upf
Li 6.94 Li.upf
Os 190.23 Os.upf
O 16.00 O.upf
CELL_PARAMETERS angstrom
2.972 -5.937 0.000
2.972 5.937 0.000
-1.863 0.000 4.865
ATOMIC_POSITIONS angstrom
Ba 2.972 3.887 0.000
Ba 2.972 -3.887 0.000
Li -0.931 0.000 2.432
Li 2.041 1.133 2.432
Li 2.041 -1.133 2.432
Os 2.972 0.000 0.000
O 0.410 1.430 3.606
O 1.256 0.000 1.049
O 0.410 -1.430 3.606
O 3.671 1.430 1.259
O 2.826 0.000 3.816
O 3.671 -1.430 1.259

No. 8
! MgAsOsBr2, optimized geometry, DFT PBE-GGA; values from VASP
! * E_form (uncorrected): 0.371 eV/atom
! * DOS at the Fermi energy: 4.0 states/eV/cell
! * space group: P4/mmm, No. 123
! * distance to the lowest polymorph of the same formula: 0.000 eV/atom
! * crystal system: tetragonal
&SYSTEM
  ibrav = 0, nat = 5, ntyp = 4
/
ATOMIC_SPECIES
Mg 24.30 Mg.upf
As 74.92 As.upf
Os 190.23 Os.upf
Br 79.90 Br.upf
CELL_PARAMETERS angstrom
5.275 0.000 0.000
0.000 5.275 0.000
0.000 0.000 4.677
ATOMIC_POSITIONS angstrom
Mg 0.000 0.000 0.000
As 2.637 2.637 0.000
Os 2.637 2.637 2.338
Br 0.000 2.637 2.338
Br 2.637 0.000 2.338

No. 9
! B6As, optimized geometry, DFT PBE-GGA; values from VASP
! * ΔH_f (0 K): -1.20 eV/f.u.
! * DOS at the Fermi energy: 0.0 states/eV/cell
! * space group: R-3m, No. 166
! * crystal system: trigonal
&SYSTEM
  ibrav = 0, nat = 14, ntyp = 2
/
ATOMIC_SPECIES
B 10.81 B.upf
As 74.92 As.upf
CELL_PARAMETERS angstrom
3.081 1.779 3.975
-3.081 1.779 3.975
0.000 -3.558 3.975
ATOMIC_POSITIONS angstrom
B -0.953 -0.550 4.549
B -1.385 -0.800 6.295
B 0.000 -1.600 5.629
B -1.385 0.800 5.629
B 0.953 -0.550 4.549
B 0.000 1.100 4.549
B 0.000 -1.100 7.375
B -0.953 0.550 7.375
B 1.385 -0.800 6.295
B 0.000 1.600 6.295
B 1.385 0.800 5.629
B 0.953 0.550 7.375
As 0.000 0.000 1.204
As 0.000 0.000 10.720

No. 10
! SrLaScCl2, optimized geometry, DFT PBE-GGA; values from VASP
! * E_form (uncorrected): -0.618 eV/atom
! * DOS at the Fermi energy: 8.5 states/eV/cell
! * space group: P4/mmm, No. 123
! * crystal system: tetragonal
&SYSTEM
  ibrav = 0, nat = 5, ntyp = 4
/
ATOMIC_SPECIES
Sr 87.62 Sr.upf
La 138.91 La.upf
Sc 44.96 Sc.upf
Cl 35.45 Cl.upf
CELL_PARAMETERS angstrom
5.535 0.000 0.000
0.000 5.535 0.000
0.000 0.000 6.805
ATOMIC_POSITIONS angstrom
Sr 0.000 0.000 0.000
La 2.768 2.768 3.403
Sc 2.768 2.768 0.000
Cl 0.000 2.768 3.403
Cl 2.768 0.000 3.403

No. 11
! Sr2Sc2Cl, optimized geometry, DFT PBE-GGA; values from VASP
! * E_form (uncorrected): -0.069 eV/atom
! * DOS at the Fermi energy: 16.0 states/eV/cell
! * space group: P4/mbm, No. 127
! * distance to the lowest polymorph of the same formula: 0.245 eV/atom
! * crystal system: tetragonal
&SYSTEM
  ibrav = 0, nat = 10, ntyp = 3
/
ATOMIC_SPECIES
Sr 87.62 Sr.upf
Sc 44.96 Sc.upf
Cl 35.45 Cl.upf
CELL_PARAMETERS angstrom
7.815 0.000 0.000
0.000 7.815 0.000
0.000 0.000 6.118
ATOMIC_POSITIONS angstrom
Sr 1.318 2.590 0.000
Sr 2.590 6.498 0.000
Sr 5.225 1.318 0.000
Sr 6.498 5.225 0.000
Sc 1.048 4.956 3.059
Sc 2.859 1.048 3.059
Sc 4.956 6.767 3.059
Sc 6.767 2.859 3.059
Cl 0.000 0.000 0.000
Cl 3.908 3.908 0.000

No. 12
! AlAs3Rh, optimized geometry, DFT PBE-GGA; values from VASP
! * ΔH_f (0 K): 2.66 eV/f.u.
! * DOS at the Fermi energy: 4.6 states/eV/cell
! * space group: Pm-3m, No. 221
! * distance to the lowest polymorph of the same formula: 0.000 eV/atom
! * crystal system: cubic
&SYSTEM
  ibrav = 0, nat = 5, ntyp = 3
/
ATOMIC_SPECIES
Al 26.98 Al.upf
As 74.92 As.upf
Rh 102.91 Rh.upf
CELL_PARAMETERS angstrom
4.835 0.000 0.000
0.000 4.835 0.000
0.000 0.000 4.835
ATOMIC_POSITIONS angstrom
Al 0.000 0.000 0.000
As 0.000 2.418 2.418
As 2.418 0.000 2.418
As 2.418 2.418 0.000
Rh 2.418 2.418 2.418